HfUW after structural relaxation, computed with PBE.

Values from the calculation:
Formation energy = 0.156 eV/atom
Total moment = 0.2 μB per cell

Lattice parameters (Å, degrees): 5.5958 5.5958 40.1007 90.00 90.00 120.00
Last column: nearest neighbours and their distance in Å.
Space group R-3m (No. 166, hexagonal axes)
Unique sites:
Hf1 0.0000 0.0000 0.0381 x6  4 Hf 3.06-3.38, 9 W 3.19-3.29, 3 U 3.23
Hf2 0.0000 0.0000 0.1801 x6  9 U 3.18-3.30, 3 W 3.28, 3 Hf 3.41
Hf3 0.0000 0.0000 0.2704 x6  6 W 3.00-3.25
U1 0.0285 0.5142 0.7765 x18  2 U 2.56, 1 W 2.85
W1 0.0000 0.0000 0.3873 x6  3 W 2.70, 3 U 2.85
W2 0.0000 0.0000 0.5000 x3  6 U 2.87
W3 0.0000 0.5000 0.0000 x9  6 W 2.70-2.80, 2 Hf 3.00